No. 1
Density functional theory data (PBE-GGA) for a relaxed structure of Mg2MnSi.

Cell: 4.4627 4.4627 4.4627 Å, 60.00 60.00 60.00°
Closest atoms and distances in Å follow each position.
Element x y z (fractional)
Mg (0.0000, 0.0000, 0.0000)  4 Mg 2.73, 4 Si 2.73
Mg (0.2500, 0.2500, 0.2500)  4 Mn 2.73, 4 Mg 2.73
Mn (0.5000, 0.5000, 0.5000)  4 Si 2.73, 4 Mg 2.73
Si (0.7500, 0.7500, 0.7500)  4 Mg 2.73, 4 Mn 2.73

Properties
Symmetry = F-43m, No. 216

No. 2
Density functional theory data (PBE-GGA) for a relaxed structure of CrRuN.

Cell: 2.6787 5.0236 4.6846 Å, 90.00 90.00 90.00°
Closest atoms and distances in Å follow each position.
Element x y z (fractional)
Cr (0.0000, 0.2408, 0.0000)  4 N 1.95-2.00
Cr (0.0000, 0.7592, 0.0000)  4 N 1.95-2.00
Ru (0.0000, 0.5000, 0.5120)  2 N 2.14
Ru (0.5000, 0.0000, 0.5909)  1 N 2.02
N (0.5000, 0.0000, 0.1602)  4 Cr 1.95, 1 Ru 2.02
N (0.5000, 0.5000, 0.1554)  4 Cr 2.00, 2 Ru 2.14

Properties
Symmetry = Pmm2, No. 25
Polymorph energy (0 for the lowest one) = 64 meV per atom

Here are the calculated calculated density numbers, same order: 3478 8802 (kg/m³).
Here are the calculated calculated total energy numbers, same order: -4.28 -9.15 (eV per atom).
Here are the calculated formation energy without anion corrections numbers, same order: 16.0 -6.8 (kJ per mole of atoms).